# 1
LaCe4Tm | GGA-PBE | optimized geometry

Cell: 6.338 6.338 6.338 Å, 60.00 60.00 60.00°
Atoms (fractional coordinates):
Tm 0.000 0.000 0.000
Ce 0.630 0.630 0.109
Ce 0.630 0.109 0.630
Ce 0.630 0.630 0.630
Ce 0.109 0.630 0.630
La 0.250 0.250 0.250

The electronic total energy comes out at -5.33 eV per atom. Its space-group type is F-43m, No. 216. The value obtained for the energy relative to the elements is 4.45 kcal/mol of atoms.

***

# 2
La6CeTm3 | GGA-PBE | optimized geometry

Cell: 9.964 9.964 7.035 Å, 44.92 44.92 60.00°
Atoms (fractional coordinates):
La 0.900 0.588 0.300
La 0.213 0.900 0.300
La 0.588 0.213 0.300
La 0.075 0.400 0.799
La 0.726 0.075 0.799
La 0.400 0.726 0.799
Ce 0.899 0.899 0.302
Tm 0.400 0.400 0.801
Tm 0.650 0.650 0.049
Tm 0.150 0.150 0.551

The electronic total energy comes out at -4.70 eV per atom. Its space-group type is R3, No. 146. The value obtained for the energy relative to the elements is 4.48 kcal/mol of atoms.

***

# 3
LaCe2Tm | GGA-PBE | optimized geometry

Cell: 5.694 5.694 5.694 Å, 60.00 60.00 60.00°
Atoms (fractional coordinates):
Tm 0.000 0.000 0.000
Ce 0.250 0.250 0.250
Ce 0.750 0.750 0.750
La 0.500 0.500 0.500

The electronic total energy comes out at -5.05 eV per atom. For the excess energy over the best structure of this formula in the dataset, the calculation gives 166 meV/atom. Its space-group type is Fm-3m, No. 225. The value obtained for the energy relative to the elements is 6.24 kcal/mol of atoms.

***

# 4
La4CeTm | GGA-PBE | optimized geometry

Cell: 3.484 6.103 11.646 Å, 117.95 90.00 106.59°
Atoms (fractional coordinates):
La 0.159 0.319 0.843
La 0.841 0.681 0.157
La 0.660 0.319 0.336
La 0.340 0.681 0.664
Ce 0.500 0.000 0.000
Tm 0.000 0.000 0.500

The electronic total energy comes out at -4.83 eV per atom. Its space-group type is C2/m, No. 12. The value obtained for the energy relative to the elements is 4.29 kcal/mol of atoms.

***

no.,theoretical density (Mg/m³)
1,8.0
2,7.1
3,7.5
4,6.9